A relaxed structure of Sr3Tl3Ga. Source: Alexandria via LeMat-Bulk, functional PBE. Values from VASP.

Properties
Energy in eV per atom: -2.557
Energy relative to the elements in eV/atom: -0.390
N(E_F) in states/eV per atom: 0.426

```
&SYSTEM
  ibrav = 0, nat = 14, ntyp = 3
/
ATOMIC_SPECIES
Ga 69.72 Ga.upf
Sr 87.62 Sr.upf
Tl 204.38 Tl.upf
CELL_PARAMETERS angstrom
-0.871 -2.904 -3.439
-3.258 -5.324 2.264
-15.034 5.493 -3.885
ATOMIC_POSITIONS crystal
Ga 0.777 0.065 0.381
Ga 0.223 0.935 0.619
Sr 0.738 0.761 0.764
Sr 0.606 0.710 0.079
Sr 0.262 0.239 0.236
Sr 0.482 0.650 0.386
Sr 0.518 0.350 0.614
Sr 0.394 0.290 0.921
Tl 0.117 0.845 0.921
Tl 0.018 0.199 0.764
Tl 0.883 0.155 0.079
Tl 0.982 0.801 0.236
Tl 0.843 0.779 0.535
Tl 0.157 0.221 0.465
```

***

A relaxed structure of Li2Mg. Source: Alexandria via LeMat-Bulk, functional PBE. Values from VASP.

Properties
Energy in eV per atom: -1.747
Energy relative to the elements in eV/atom: 0.061
N(E_F) in states/eV per atom: 0.380

```
&SYSTEM
  ibrav = 0, nat = 6, ntyp = 2
/
ATOMIC_SPECIES
Mg 24.30 Mg.upf
Li 6.94 Li.upf
CELL_PARAMETERS angstrom
5.575 -0.005 0.000
-2.247 5.102 0.000
-1.664 -2.549 4.670
ATOMIC_POSITIONS crystal
Mg 0.750 0.750 0.000
Mg 0.250 0.250 0.000
Li 0.649 0.149 0.799
Li 0.851 0.649 0.500
Li 0.149 0.351 0.500
Li 0.351 0.851 0.201
```